Model one:
The following is a GGA-PBE calculation of crystalline Co2Cu2Pb at its relaxed geometry, from Alexandria via LeMat-Bulk.

Cell and atoms, written as POSCAR:
```
Co2Cu2Pb
1.0
-1.821 1.821 5.693
1.821 -1.821 5.693
1.821 1.821 -5.693
Co Cu Pb
2 2 1
Direct
0.102 0.102 0.000
0.898 0.898 0.000
0.250 0.750 0.500
0.750 0.250 0.500
0.500 0.500 0.000
```

Density: 9.95 g/cm³
Symmetry: I4/mmm, No. 139
Volume: 75.5 Å³ per cell



Model two:
The following is a GGA-PBE calculation of crystalline Co2Cu2Pb at its relaxed geometry, from Alexandria via LeMat-Bulk.

Cell and atoms, written as POSCAR:
```
Co2Cu2Pb
1.0
6.775 0.000 0.000
0.000 6.775 0.000
0.000 0.000 3.204
Co Cu Pb
4 4 2
Direct
0.121 0.379 0.000
0.379 0.879 0.000
0.621 0.121 0.000
0.879 0.621 0.000
0.165 0.665 0.500
0.335 0.165 0.500
0.665 0.835 0.500
0.835 0.335 0.500
0.000 0.000 0.000
0.500 0.500 0.000
```

Density: 10.21 g/cm³
Symmetry: P4/mbm, No. 127
Volume: 147.0 Å³ per cell



Model three:
The following is a GGA-PBE calculation of crystalline Co2Cu2Pb at its relaxed geometry, from Alexandria via LeMat-Bulk.

Cell and atoms, written as POSCAR:
```
Co2Cu2Pb
1.0
6.952 0.000 0.000
0.000 6.952 0.000
0.000 0.000 3.002
Co Cu Pb
4 4 2
Direct
0.159 0.341 0.000
0.341 0.841 0.000
0.659 0.159 0.000
0.841 0.659 0.000
0.128 0.628 0.500
0.372 0.128 0.500
0.628 0.872 0.500
0.872 0.372 0.500
0.000 0.000 0.500
0.500 0.500 0.500
```

Density: 10.35 g/cm³
Symmetry: P4/mbm, No. 127
Volume: 145.1 Å³ per cell



So which one wins? Going from most stable to least: model two, model one, model three.



Model one:
The following is a GGA-PBE calculation of crystalline CoCuPb at its relaxed geometry, from Alexandria via LeMat-Bulk.

Cell and atoms, written as POSCAR:
```
CoCuPb
1.0
-1.680 1.680 4.319
1.680 -1.680 4.319
1.680 1.680 -4.319
Co Cu Pb
1 1 1
Direct
0.000 0.000 0.000
0.370 0.370 0.000
0.682 0.682 0.000
```

Density: 11.23 g/cm³
Symmetry: I4mm, No. 107
Volume: 48.7 Å³ per cell



Model two:
The following is a GGA-PBE calculation of crystalline CoCuPb at its relaxed geometry, from Alexandria via LeMat-Bulk.

Cell and atoms, written as POSCAR:
```
CoCuPb
1.0
4.174 0.000 0.000
-2.087 3.615 0.000
0.000 0.000 3.376
Co Cu Pb
1 1 1
Direct
0.000 0.000 0.000
0.667 0.333 0.997
0.333 0.667 0.498
```

Density: 10.75 g/cm³
Symmetry: P3m1, No. 156
Volume: 50.9 Å³ per cell



So which one wins? Going from most stable to least: model one, model two.



Model one:
The following is a GGA-PBE calculation of crystalline CoCu6Pd12 at its relaxed geometry, from Alexandria via LeMat-Bulk.

Cell and atoms, written as POSCAR:
```
CoCu6Pd12
1.0
4.562 2.634 3.826
-4.562 2.634 3.826
0.000 -5.268 3.826
Co Cu Pd
1 6 12
Direct
0.000 0.000 0.000
0.111 0.734 0.264
0.264 0.111 0.734
0.266 0.736 0.889
0.734 0.264 0.111
0.736 0.889 0.266
0.889 0.266 0.736
0.024 0.152 0.367
0.152 0.367 0.024
0.198 0.471 0.562
0.367 0.024 0.152
0.438 0.802 0.529
0.471 0.562 0.198
0.529 0.438 0.802
0.562 0.198 0.471
0.633 0.976 0.848
0.802 0.529 0.438
0.848 0.633 0.976
0.976 0.848 0.633
```

Density: 10.34 g/cm³
Symmetry: R-3, No. 148
Volume: 275.8 Å³ per cell



Model two:
The following is a GGA-PBE calculation of crystalline CoCu6Pd12 at its relaxed geometry, from Alexandria via LeMat-Bulk.

Cell and atoms, written as POSCAR:
```
CoCu6Pd12
1.0
5.928 3.422 2.226
-5.928 3.422 2.226
0.000 -6.845 2.226
Co Cu Pd
1 6 12
Direct
0.000 0.000 0.000
0.051 0.367 0.578
0.367 0.578 0.051
0.422 0.949 0.633
0.578 0.051 0.367
0.633 0.422 0.949
0.949 0.633 0.422
0.108 0.739 0.162
0.162 0.108 0.739
0.207 0.474 0.317
0.261 0.838 0.892
0.317 0.207 0.474
0.474 0.317 0.207
0.526 0.683 0.793
0.683 0.793 0.526
0.739 0.162 0.108
0.793 0.526 0.683
0.838 0.892 0.261
0.892 0.261 0.838
```

Density: 10.52 g/cm³
Symmetry: R-3, No. 148
Volume: 271.0 Å³ per cell



So which one wins? Going from most stable to least: model two, model one.



Model one:
The following is a GGA-PBE calculation of crystalline CoCu2Pd2 at its relaxed geometry, from Alexandria via LeMat-Bulk.

Cell and atoms, written as POSCAR:
```
CoCu2Pd2
1.0
4.168 -1.883 0.000
4.168 1.883 0.000
-4.084 0.000 4.246
Co Cu Pd
1 2 2
Direct
0.000 0.000 0.000
0.198 0.198 0.593
0.802 0.802 0.407
0.406 0.406 0.197
0.594 0.594 0.803
```

Density: 9.94 g/cm³
Symmetry: C2/m, No. 12
Volume: 66.7 Å³ per cell



Model two:
The following is a GGA-PBE calculation of crystalline CoCu2Pd2 at its relaxed geometry, from Alexandria via LeMat-Bulk.

Cell and atoms, written as POSCAR:
```
CoCu2Pd2
1.0
7.114 0.000 0.000
0.000 7.114 0.000
0.000 0.000 2.834
Co Cu Pd
2 4 4
Direct
0.000 0.000 0.000
0.500 0.500 0.000
0.156 0.344 0.500
0.344 0.844 0.500
0.656 0.156 0.500
0.844 0.656 0.500
0.142 0.642 0.000
0.358 0.142 0.000
0.642 0.858 0.000
0.858 0.358 0.000
```

Density: 9.24 g/cm³
Symmetry: P4/mbm, No. 127
Volume: 143.4 Å³ per cell



Model three:
The following is a GGA-PBE calculation of crystalline CoCu2Pd2 at its relaxed geometry, from Alexandria via LeMat-Bulk.

Cell and atoms, written as POSCAR:
```
CoCu2Pd2
1.0
6.988 0.000 0.000
0.000 6.988 0.000
0.000 0.000 2.882
Co Cu Pd
2 4 4
Direct
0.000 0.000 0.000
0.500 0.500 0.000
0.125 0.375 0.000
0.375 0.875 0.000
0.625 0.125 0.000
0.875 0.625 0.000
0.174 0.674 0.500
0.326 0.174 0.500
0.674 0.826 0.500
0.826 0.326 0.500
```

Density: 9.41 g/cm³
Symmetry: P4/mbm, No. 127
Volume: 140.7 Å³ per cell



So which one wins? Going from most stable to least: model one, model three, model two.



Model one:
The following is a GGA-PBE calculation of crystalline CoCu2Pd at its relaxed geometry, from Alexandria via LeMat-Bulk.

Cell and atoms, written as POSCAR:
```
CoCu2Pd
1.0
-3.342 3.342 2.500
3.342 -3.342 2.500
3.342 3.342 -2.500
Co Cu Pd
2 4 2
Direct
0.000 0.000 0.000
0.750 0.250 0.500
0.106 0.625 0.981
0.375 0.356 0.481
0.644 0.125 0.019
0.875 0.894 0.519
0.250 0.750 0.500
0.500 0.500 0.000
```

Density: 8.70 g/cm³
Symmetry: I-42d, No. 122
Volume: 111.7 Å³ per cell



Model two:
The following is a GGA-PBE calculation of crystalline CoCu2Pd at its relaxed geometry, from Alexandria via LeMat-Bulk.

Cell and atoms, written as POSCAR:
```
CoCu2Pd
1.0
2.949 0.000 0.000
0.000 2.949 0.000
0.000 0.000 5.822
Co Cu Pd
1 2 1
Direct
0.000 0.000 0.000
0.500 0.500 0.228
0.500 0.500 0.772
0.000 0.000 0.500
```

Density: 9.59 g/cm³
Symmetry: P4/mmm, No. 123
Volume: 50.6 Å³ per cell



So which one wins? Going from most stable to least: model two, model one.



Model one:
The following is a GGA-PBE calculation of crystalline CoCu3Pd6 at its relaxed geometry, from Alexandria via LeMat-Bulk.

Cell and atoms, written as POSCAR:
```
CoCu3Pd6
1.0
4.738 2.736 3.772
-4.738 2.736 3.772
0.000 -5.471 3.772
Co Cu Pd
2 6 12
Direct
0.000 0.000 0.000
0.500 0.500 0.500
0.244 0.744 0.618
0.256 0.382 0.756
0.382 0.756 0.256
0.618 0.244 0.744
0.744 0.618 0.244
0.756 0.256 0.382
0.011 0.877 0.343
0.123 0.657 0.989
0.124 0.449 0.354
0.343 0.011 0.877
0.354 0.124 0.449
0.449 0.354 0.124
0.551 0.646 0.876
0.646 0.876 0.551
0.657 0.989 0.123
0.876 0.551 0.646
0.877 0.343 0.011
0.989 0.123 0.657
```

Density: 10.05 g/cm³
Symmetry: R-3, No. 148
Volume: 293.3 Å³ per cell



Model two:
The following is a GGA-PBE calculation of crystalline CoCu3Pd6 at its relaxed geometry, from Alexandria via LeMat-Bulk.

Cell and atoms, written as POSCAR:
```
CoCu3Pd6
1.0
7.211 0.000 0.000
0.000 4.420 0.000
-3.426 0.000 8.860
Co Cu Pd
2 6 12
Direct
0.105 0.250 0.070
0.895 0.750 0.930
0.104 0.750 0.727
0.298 0.750 0.531
0.313 0.250 0.868
0.687 0.750 0.132
0.702 0.250 0.469
0.896 0.250 0.273
0.074 0.750 0.218
0.105 0.250 0.572
0.276 0.750 0.019
0.290 0.250 0.364
0.492 0.750 0.333
0.500 0.250 0.165
0.500 0.750 0.835
0.508 0.250 0.667
0.710 0.750 0.636
0.724 0.250 0.981
0.895 0.750 0.428
0.926 0.250 0.782
```

Density: 10.44 g/cm³
Symmetry: P2_1/m, No. 11
Volume: 282.4 Å³ per cell



So which one wins? Going from most stable to least: model two, model one.



Model one:
The following is a GGA-PBE calculation of crystalline CoCu2Pd8 at its relaxed geometry, from Alexandria via LeMat-Bulk.

Cell and atoms, written as POSCAR:
```
CoCu2Pd8
1.0
3.925 -5.146 0.000
3.925 5.146 0.000
0.000 0.000 4.129
Co Cu Pd
1 2 8
Direct
0.000 0.000 0.000
0.383 0.617 0.500
0.617 0.383 0.500
0.040 0.305 0.500
0.249 0.751 0.000
0.305 0.040 0.500
0.329 0.329 0.000
0.671 0.671 0.000
0.695 0.960 0.500
0.751 0.249 0.000
0.960 0.695 0.500
```

Density: 10.33 g/cm³
Symmetry: Cmmm, No. 65
Volume: 166.8 Å³ per cell



Model two:
The following is a GGA-PBE calculation of crystalline CoCu2Pd8 at its relaxed geometry, from Alexandria via LeMat-Bulk.

Cell and atoms, written as POSCAR:
```
CoCu2Pd8
1.0
4.796 -4.364 0.000
4.796 4.364 0.000
-1.307 0.000 4.371
Co Cu Pd
1 2 8
Direct
0.000 0.000 0.000
0.134 0.134 0.532
0.866 0.866 0.468
0.156 0.673 0.198
0.263 0.263 0.109
0.327 0.844 0.802
0.419 0.419 0.701
0.581 0.581 0.299
0.673 0.156 0.198
0.737 0.737 0.891
0.844 0.327 0.802
```

Density: 9.41 g/cm³
Symmetry: C2/m, No. 12
Volume: 183.0 Å³ per cell



So which one wins? Going from most stable to least: model one, model two.



Model one:
The following is a GGA-PBE calculation of crystalline CoCuPd at its relaxed geometry, from Alexandria via LeMat-Bulk.

Cell and atoms, written as POSCAR:
```
CoCuPd
1.0
1.309 -7.689 0.000
1.309 7.689 0.000
0.000 0.000 3.884
Co Cu Pd
2 2 2
Direct
0.215 0.785 0.750
0.785 0.215 0.250
0.045 0.955 0.750
0.955 0.045 0.250
0.379 0.621 0.750
0.621 0.379 0.250
```

Density: 9.72 g/cm³
Symmetry: Cmcm, No. 63
Volume: 78.2 Å³ per cell



Model two:
The following is a GGA-PBE calculation of crystalline CoCuPd at its relaxed geometry, from Alexandria via LeMat-Bulk.

Cell and atoms, written as POSCAR:
```
CoCuPd
1.0
-1.343 1.343 5.382
1.343 -1.343 5.382
1.343 1.343 -5.382
Co Cu Pd
1 1 1
Direct
0.000 0.000 0.000
0.656 0.656 0.000
0.333 0.333 0.000
```

Density: 9.78 g/cm³
Symmetry: I4mm, No. 107
Volume: 38.9 Å³ per cell



So which one wins? Going from most stable to least: model one, model two.



Model one:
The following is a GGA-PBE calculation of crystalline CoCuPd at its relaxed geometry, from Alexandria via LeMat-Bulk.

Cell and atoms, written as POSCAR:
```
CoCuPd
1.0
2.662 0.000 0.000
-1.331 2.305 0.000
0.000 0.000 6.370
Co Cu Pd
1 1 1
Direct
0.000 0.000 0.000
0.333 0.667 0.684
0.667 0.333 0.336
```

Density: 9.72 g/cm³
Symmetry: P3m1, No. 156
Volume: 39.1 Å³ per cell



Model two:
The following is a GGA-PBE calculation of crystalline CoCuPd at its relaxed geometry, from Alexandria via LeMat-Bulk.

Cell and atoms, written as POSCAR:
```
CoCuPd
1.0
2.706 0.000 0.000
0.000 3.483 0.000
-0.073 0.000 8.253
Co Cu Pd
2 2 2
Direct
0.236 0.250 0.067
0.764 0.750 0.933
0.249 0.250 0.423
0.751 0.750 0.577
0.257 0.250 0.753
0.743 0.750 0.247
```

Density: 9.77 g/cm³
Symmetry: P2_1/m, No. 11
Volume: 77.8 Å³ per cell



So which one wins? Going from most stable to least: model two, model one.



Model one:
The following is a GGA-PBE calculation of crystalline CoCu2Pd5 at its relaxed geometry, from Alexandria via LeMat-Bulk.

Cell and atoms, written as POSCAR:
```
CoCu2Pd5
1.0
-2.772 2.772 3.704
2.772 -2.772 3.704
2.772 2.772 -3.704
Co Cu Pd
1 2 5
Direct
0.000 0.000 0.000
0.000 0.500 0.500
0.500 0.000 0.500
0.000 0.000 0.500
0.000 0.500 0.000
0.500 0.000 0.000
0.500 0.500 0.000
0.500 0.500 0.500
```

Density: 10.47 g/cm³
Symmetry: I4/mmm, No. 139
Volume: 113.9 Å³ per cell



Model two:
The following is a GGA-PBE calculation of crystalline CoCu2Pd5 at its relaxed geometry, from Alexandria via LeMat-Bulk.

Cell and atoms, written as POSCAR:
```
CoCu2Pd5
1.0
-3.223 3.223 5.580
3.223 -3.223 5.580
3.223 3.223 -5.580
Co Cu Pd
2 4 10
Direct
0.250 0.250 0.000
0.750 0.750 0.000
0.135 0.635 0.771
0.365 0.135 0.500
0.635 0.865 0.500
0.865 0.365 0.229
0.000 0.000 0.000
0.000 0.184 0.500
0.000 0.816 0.500
0.184 0.684 0.184
0.316 0.500 0.500
0.500 0.000 0.184
0.500 0.000 0.816
0.500 0.500 0.000
0.684 0.500 0.500
0.816 0.316 0.816
```

Density: 10.29 g/cm³
Symmetry: I4/mcm, No. 140
Volume: 231.9 Å³ per cell



So which one wins? Going from most stable to least: model one, model two.